Computed, not measured: an optimized crystal structure of Nb2VFe3 at the GGA-PBE level of DFT.

## Properties
N(E_F), states/eV per cell: 7.73
Symmetry: R-3m, No. 166
Spin magnetization, Bohr magnetons per cell: 2.83
Volume, Å³ per cell: 81.2
Energy above the lowest structure with this stoichiometry, eV/atom: 0.000
ΔE_f, eV/atom: -0.175
Calculated total energy, eV for the cell shown: -55.70

a b c (Å): 4.9302 4.9302 4.7931
angles (deg): 90.01 120.94 120.00
Site moments in Bohr magnetons follow the coordinates.
Element x y z (fractional)
Fe 0.5000 0.5000 0.5000  1.09
Fe 0.0000 0.0000 0.5000  1.09
Fe 0.5000 0.0000 0.5000  1.08
V 0.0000 0.0000 0.0000  -0.31
Nb 0.7505 0.3752 0.1257  -0.04
Nb 0.2495 0.6248 0.8743  -0.04

Computed, not measured: an optimized crystal structure of Ca2EuIn at the GGA-PBE level of DFT.

## Properties
N(E_F), states/eV per cell: 13.24
Symmetry: P4/mmm, No. 123
Spin magnetization, Bohr magnetons per cell: 7.37
Volume, Å³ per cell: 134.9
Energy above the lowest structure with this stoichiometry, eV/atom: 0.001
ΔE_f, eV/atom: -0.214
Calculated total energy, eV for the cell shown: -17.87

a b c (Å): 5.2492 5.0694 5.0694
angles (deg): 90.00 90.00 90.00
Site moments in Bohr magnetons follow the coordinates.
Element x y z (fractional)
In 0.5000 0.5000 0.5000  0.02
Eu 0.5000 0.0000 0.0000  6.89
Ca 0.0000 0.0000 0.5000  0.02
Ca 0.0000 0.5000 0.0000  0.02

Computed, not measured: an optimized crystal structure of Sm3Dy2TaN6 at the GGA-PBE level of DFT.

## Properties
Formation energy (no corrections), eV per formula unit: -18.11
N(E_F), states/eV per cell: 1.88
Symmetry: C2/m, No. 12
Spin magnetization, Bohr magnetons per cell: 0.00
Volume, Å³ per cell: 173.6
Calculated total energy, eV for the cell shown: -103.27

a b c (Å): 5.9548 5.9548 5.9882
angles (deg): 99.54 99.54 119.96
Element x y z (fractional)
Sm 0.5000 0.5000 0.5000
Sm 0.1666 0.8334 0.5000
Sm 0.8334 0.1666 0.5000
N 0.9255 0.6180 0.7769
N 0.2326 0.2326 0.7715
N 0.3820 0.0745 0.2231
N 0.7674 0.7674 0.2285
N 0.6180 0.9255 0.7769
N 0.0745 0.3820 0.2231
Dy 0.3333 0.6667 0.0000
Dy 0.6667 0.3333 0.0000
Ta 0.0000 0.0000 0.0000

Computed, not measured: an optimized crystal structure of TbDy3S4 at the GGA-PBE level of DFT.

## Properties
Formation energy (no corrections), eV per formula unit: -15.96
N(E_F), states/eV per cell: 5.01
Symmetry: Cmmm, No. 65
Spin magnetization, Bohr magnetons per cell: 0.00
Volume, Å³ per cell: 169.1
Energy above the lowest structure with this stoichiometry, eV/atom: 0.000
Calculated total energy, eV for the cell shown: -50.91

a b c (Å): 3.8792 6.7918 6.7918
angles (deg): 109.11 90.00 90.00
Element x y z (fractional)
Dy 0.5000 0.5000 0.5000
Dy 0.0000 0.0000 0.5000
Dy 0.0000 0.5000 0.0000
S 0.0000 0.7486 0.7486
S 0.5000 0.2507 0.7493
S 0.0000 0.2514 0.2514
S 0.5000 0.7493 0.2507
Tb 0.5000 0.0000 0.0000